DFT (PBE-GGA) results for a geometry-optimized SrYOs2 structure.

The structure belongs to space group Cm (No. 8); the cell edges are 11.385, 3.107 and 5.412 Å and the angles 90.00°, 112.52° and 90.00°. Symmetry generates all atoms from Sr at (0.000, 0.000, 0.000), Y at (0.195, 0.000, 0.626), Os at (0.267, 0.500, 0.151) and Os at (0.433, 0.000, 0.462).

The total energy comes out at -57.8 eV per cell. The energy above the most stable polymorph in this dataset comes out at 1.13 eV/f.u. The value obtained for the formation energy is 41 kJ per mole of atoms. The value obtained for the total magnetization is 0.00 μB/f.u.

---

DFT (PBE-GGA) results for a geometry-optimized Zr2Sc7 structure.

The structure belongs to space group P-31m (No. 162); the cell edges are 5.5916, 5.5916 and 7.9611 Å and the angles 90.00°, 90.00° and 120.00°. Symmetry generates all atoms from Zr at (0.3333, 0.6667, 0.0000), Sc at (0.0000, 0.0000, 0.0000) and Sc at (0.0000, 0.3364, 0.6734).

The total energy comes out at -61.2 eV per cell. The value obtained for the formation energy is 3 kJ per mole of atoms. The value obtained for the total magnetization is 0.00 μB/f.u.

---

DFT (PBE-GGA) results for a geometry-optimized Ca2PmPrTl4 structure.

The structure belongs to space group R-3m (No. 166, hexagonal axes); the cell edges are 5.5139, 5.5139 and 27.0388 Å and the angles 90.00°, 90.00° and 120.00°. Symmetry generates all atoms from Ca at (0.0000, 0.0000, 0.2502), Pm at (0.0000, 0.0000, 0.0000), Pr at (0.0000, 0.0000, 0.5000), Tl at (0.0000, 0.0000, 0.1240) and Tl at (0.0000, 0.0000, 0.3745).

The total energy comes out at -78.6 eV per cell. The value obtained for the formation energy is -38 kJ per mole of atoms. The value obtained for the total magnetization is 0.00 μB/f.u.